Entry 1:
V3FeH (PBE-GGA, optimized geometry); ΔE to the lowest computed polymorph = 0 meV per atom; energy = -155.93 eV/cell; total moment = 1.65 Bohr magnetons per cell
1.0
6.8698 0.0000 0.0000
0.0000 4.6141 0.0000
-5.2711 0.0000 6.7340
V Fe H
12 4 4
Direct
0.0395 0.0377 0.2722 V
0.0395 0.4623 0.7722 V
0.3378 0.2479 0.6695 V
0.3378 0.2521 0.1695 V
0.4026 0.7428 0.4504 V
0.4026 0.7572 0.9504 V
0.5974 0.2428 0.0496 V
0.5974 0.2572 0.5496 V
0.6622 0.7479 0.8305 V
0.6622 0.7521 0.3305 V
0.9605 0.5377 0.2278 V
0.9605 0.9623 0.7278 V
0.1362 0.7449 0.5679 Fe
0.1362 0.7551 0.0679 Fe
0.8638 0.2449 0.9321 Fe
0.8638 0.2551 0.4321 Fe
0.2719 0.1505 0.8507 H
0.2719 0.3495 0.3507 H
0.7281 0.6505 0.6493 H
0.7281 0.8495 0.1493 H


Entry 2:
MoSe2 (PBE-GGA, optimized geometry); energy = -59.54 eV/cell; total moment = 0.00 Bohr magnetons per cell
1.0
3.3235 0.0000 0.0000
-1.6617 2.8782 0.0000
0.0000 0.0000 21.9204
Mo Se
3 6
Direct
0.0000 0.0000 0.0000 Mo
0.0000 0.0000 0.3521 Mo
0.6667 0.3333 0.6763 Mo
0.0000 0.0000 0.6000 Se
0.0000 0.0000 0.7527 Se
0.6667 0.3333 0.0763 Se
0.6667 0.3333 0.2758 Se
0.6667 0.3333 0.4285 Se
0.6667 0.3333 0.9237 Se


Entry 3:
Ca5Sn2Ge2 (PBE-GGA, optimized geometry); ΔH_f (0 K) = -0.597 eV/atom; energy = -65.24 eV/cell; total moment = 0.00 Bohr magnetons per cell
1.0
8.5937 -3.8668 0.0000
8.5937 3.8668 0.0000
0.0000 0.0000 7.7032
Ca Sn Ge
10 4 4
Direct
0.0000 0.0000 0.0000 Ca
0.0567 0.6939 0.6810 Ca
0.1939 0.5567 0.1810 Ca
0.3061 0.9433 0.6810 Ca
0.4433 0.8061 0.1810 Ca
0.5000 0.5000 0.5000 Ca
0.5567 0.1939 0.8190 Ca
0.6939 0.0567 0.3190 Ca
0.8061 0.4433 0.8190 Ca
0.9433 0.3061 0.3190 Ca
0.2283 0.2283 0.0000 Sn
0.2717 0.2717 0.5000 Sn
0.7283 0.7283 0.5000 Sn
0.7717 0.7717 0.0000 Sn
0.1169 0.8831 0.3827 Ge
0.3831 0.6169 0.8827 Ge
0.6169 0.3831 0.1173 Ge
0.8831 0.1169 0.6173 Ge


Entry 4:
SrInPt2 (PBE-GGA, optimized geometry); ΔH_f (0 K) = -0.403 eV/atom; energy = -36.23 eV/cell; total moment = 0.00 Bohr magnetons per cell
1.0
-2.5534 2.5534 9.0623
2.5534 -2.5534 9.0623
2.5534 2.5534 -9.0623
Sr In Pt
2 2 4
Direct
0.0000 0.0000 0.0000 Sr
0.7500 0.2500 0.5000 Sr
0.2500 0.7500 0.5000 In
0.5000 0.5000 0.0000 In
0.3250 0.6250 0.2000 Pt
0.3750 0.5750 0.7000 Pt
0.4250 0.1250 0.8000 Pt
0.8750 0.6750 0.3000 Pt


Entry 5:
Ho2Cu3Ge4Pt (PBE-GGA, optimized geometry); ΔH_f (0 K) = -0.549 eV/atom; energy = -51.44 eV/cell; total moment = 0.00 Bohr magnetons per cell
1.0
4.1374 0.0000 0.0000
0.0000 4.1374 0.0000
0.0000 0.0000 10.2011
Ho Cu Ge Pt
2 3 4 1
Direct
0.0000 0.5000 0.2483 Ho
0.5000 0.0000 0.7517 Ho
0.0000 0.0000 0.0000 Cu
0.0000 0.5000 0.6323 Cu
0.5000 0.0000 0.3677 Cu
0.0000 0.0000 0.5000 Ge
0.0000 0.5000 0.8616 Ge
0.5000 0.0000 0.1384 Ge
0.5000 0.5000 0.5000 Ge
0.5000 0.5000 0.0000 Pt


Entry 6:
Pu2Sn9Pb (PBE-GGA, optimized geometry); ΔH_f (0 K) = -0.186 eV/atom; energy = -70.63 eV/cell; total moment = 11.38 Bohr magnetons per cell
1.0
4.7007 0.0000 0.0000
0.0000 4.7007 0.0000
0.0000 0.0000 14.4420
Pu Sn Pb
2 9 1
Direct
0.0000 0.0000 0.1569 Pu
0.0000 0.0000 0.8431 Pu
0.0000 0.5000 0.0000 Sn
0.0000 0.5000 0.3262 Sn
0.0000 0.5000 0.6738 Sn
0.5000 0.0000 0.0000 Sn
0.5000 0.0000 0.3262 Sn
0.5000 0.0000 0.6738 Sn
0.5000 0.5000 0.1642 Sn
0.5000 0.5000 0.5000 Sn
0.5000 0.5000 0.8358 Sn
0.0000 0.0000 0.5000 Pb